[1]
First-principles (PBE-GGA) data for an optimized crystal structure of LiCrTe, as listed in Alexandria.

Cell: 6.5602 6.5602 6.5602 Å, 90.00 90.00 90.00°
Space group F-43m (No. 216)
Symmetry-distinct sites (fractional):
Li1 0.0000 0.0000 0.0000
Cr1 0.0000 0.0000 0.5000
Te1 0.2500 0.2500 0.2500

Summary:
Theoretical density ... 4389 kg/m3
Excess energy over the best structure of this formula in the dataset ... 46 meV/atom
Formation energy from raw total energies ... -3.86 kcal/mol of atoms

---

[2]
First-principles (PBE-GGA) data for an optimized crystal structure of LiCrTe2, as listed in Alexandria.

Cell: 4.2274 4.2274 19.5017 Å, 90.00 90.00 120.00°
Space group R3m (No. 160, hexagonal axes)
Symmetry-distinct sites (fractional):
Li1 0.0000 0.0000 0.0000
Cr1 0.0000 0.0000 0.7355
Te1 0.0000 0.0000 0.3007
Te2 0.0000 0.0000 0.4738

Summary:
Theoretical density ... 5185 kg/m3
Formation energy from raw total energies ... -2.60 kcal/mol of atoms

---

[3]
First-principles (PBE-GGA) data for an optimized crystal structure of LiCrTe2, as listed in Alexandria.

Cell: 3.4539 3.9021 7.4759 Å, 90.00 95.42 90.00°
Space group P2/m (No. 10)
Symmetry-distinct sites (fractional):
Li1 0.0000 0.0000 0.0000
Cr1 0.0000 0.0000 0.5000
Te1 0.2562 0.5000 0.7390

Summary:
Theoretical density ... 5200 kg/m3
Formation energy from raw total energies ... -4.79 kcal/mol of atoms

---

Repeat the third record exactly.
First-principles (PBE-GGA) data for an optimized crystal structure of LiCrTe2, as listed in Alexandria.

Cell: 3.4539 3.9021 7.4759 Å, 90.00 95.42 90.00°
Space group P2/m (No. 10)
Symmetry-distinct sites (fractional):
Li1 0.0000 0.0000 0.0000
Cr1 0.0000 0.0000 0.5000
Te1 0.2562 0.5000 0.7390

Summary:
Theoretical density ... 5200 kg/m3
Formation energy from raw total energies ... -4.79 kcal/mol of atoms

---

Q: The highest theoretical density belongs to which entry?
A: number 3